VASP calculation (PBE+U) on crystalline Li2MgMo2O6 at its relaxed geometry.

```
Li2MgMo2O6
1.0
2.879 1.662 5.404
-2.879 1.662 5.404
0.000 -3.325 5.404
Li Mg Mo O
2 1 2 6
Cartesian
0.000 0.000 1.312
0.000 0.000 14.900
0.000 0.000 8.106
0.000 0.000 5.411
0.000 0.000 10.800
0.000 -1.510 6.579
-1.308 0.755 6.579
-1.308 -0.755 9.633
1.308 0.755 6.579
1.308 -0.755 9.633
0.000 1.510 9.633
```

space group	No. 166
uncorrected energy	-5.7666	eV per atom